Record 1
Below is a relaxed EuGd2Mg crystal, with properties calculated at the PBE-GGA level.

Lattice parameters (Å, degrees): 11.716 11.716 11.716 17.69 17.69 17.69
Fractional positions:
Eu1 0.000 0.000 0.000
Gd1 0.244 0.244 0.244
Gd2 0.756 0.756 0.756
Mg1 0.500 0.500 0.500

Results
M_tot	22.5	μB/f.u.
space-group type	No. 166
relative energy among the computed polymorphs	4.4	meV per atom

---

Record 2
Below is a relaxed EuGd2Mg crystal, with properties calculated at the PBE-GGA level.

Lattice parameters (Å, degrees): 5.043 5.043 5.010 90.00 90.00 90.00
Fractional positions:
Eu1 0.000 0.000 0.000
Gd1 0.000 0.500 0.500
Gd2 0.500 0.000 0.500
Mg1 0.500 0.500 0.000

Results
M_tot	8.3	μB/f.u.
space-group type	No. 123
relative energy among the computed polymorphs	3.2	meV per atom

---

Record 3
Below is a relaxed EuGd2Mg crystal, with properties calculated at the PBE-GGA level.

Lattice parameters (Å, degrees): 5.605 5.605 5.605 60.00 60.00 60.00
Fractional positions:
Eu1 0.000 0.000 0.000
Gd1 0.250 0.250 0.250
Gd2 0.750 0.750 0.750
Mg1 0.500 0.500 0.500

Results
M_tot	7.3	μB/f.u.
space-group type	No. 225
relative energy among the computed polymorphs	0.0	meV per atom

---

Record 4
Below is a relaxed NaEuGdMg crystal, with properties calculated at the PBE-GGA level.

Lattice parameters (Å, degrees): 5.711 5.711 5.711 60.00 60.00 60.00
Fractional positions:
Na1 0.000 0.000 0.000
Eu1 0.750 0.750 0.750
Gd1 0.250 0.250 0.250
Mg1 0.500 0.500 0.500

Results
M_tot	0.1	μB/f.u.
space-group type	No. 216
uncorrected energy	-6.683	eV per atom

---

Record 5
Below is a relaxed EuGdMgPb crystal, with properties calculated at the PBE-GGA level.

Lattice parameters (Å, degrees): 5.532 5.532 5.532 60.00 60.00 60.00
Fractional positions:
Eu1 0.000 0.000 0.000
Gd1 0.500 0.500 0.500
Mg1 0.750 0.750 0.750
Pb1 0.250 0.250 0.250

Results
M_tot	0.0	μB/f.u.
space-group type	No. 216
uncorrected energy	-7.723	eV per atom

---

Record 6
Below is a relaxed EuGdMgPd crystal, with properties calculated at the PBE-GGA level.

Lattice parameters (Å, degrees): 5.247 5.247 5.247 60.00 60.00 60.00
Fractional positions:
Eu1 0.000 0.000 0.000
Gd1 0.500 0.500 0.500
Mg1 0.750 0.750 0.750
Pd1 0.250 0.250 0.250

Results
M_tot	0.2	μB/f.u.
space-group type	No. 216
uncorrected energy	-8.109	eV per atom

---

Record 7
Below is a relaxed PmEuGdMg crystal, with properties calculated at the PBE-GGA level.

Lattice parameters (Å, degrees): 5.647 5.647 5.647 60.00 60.00 60.00
Fractional positions:
Pm1 0.000 0.000 0.000
Eu1 0.750 0.750 0.750
Gd1 0.500 0.500 0.500
Mg1 0.250 0.250 0.250

Results
M_tot	0.1	μB/f.u.
space-group type	No. 216
uncorrected energy	-7.624	eV per atom

---

Record 8
Below is a relaxed EuGdPuMg crystal, with properties calculated at the PBE-GGA level.

Lattice parameters (Å, degrees): 5.575 5.575 5.575 60.00 60.00 60.00
Fractional positions:
Eu1 0.000 0.000 0.000
Gd1 0.500 0.500 0.500
Pu1 0.750 0.750 0.750
Mg1 0.250 0.250 0.250

Results
M_tot	6.6	μB/f.u.
space-group type	No. 216
uncorrected energy	-9.859	eV per atom

---

Record 9
Below is a relaxed EuGdMgSc crystal, with properties calculated at the PBE-GGA level.

Lattice parameters (Å, degrees): 5.504 5.504 5.504 60.00 60.00 60.00
Fractional positions:
Eu1 0.000 0.000 0.000
Gd1 0.500 0.500 0.500
Mg1 0.750 0.750 0.750
Sc1 0.250 0.250 0.250

Results
M_tot	0.2	μB/f.u.
space-group type	No. 216
uncorrected energy	-7.991	eV per atom

---

Record 10
Below is a relaxed EuGdThMg crystal, with properties calculated at the PBE-GGA level.

Lattice parameters (Å, degrees): 5.641 5.641 5.641 60.00 60.00 60.00
Fractional positions:
Eu1 0.000 0.000 0.000
Gd1 0.500 0.500 0.500
Th1 0.250 0.250 0.250
Mg1 0.750 0.750 0.750

Results
M_tot	1.1	μB/f.u.
space-group type	No. 216
uncorrected energy	-8.114	eV per atom

---

Record 11
Below is a relaxed EuGdMgTl crystal, with properties calculated at the PBE-GGA level.

Lattice parameters (Å, degrees): 5.494 5.494 5.494 60.00 60.00 60.00
Fractional positions:
Eu1 0.000 0.000 0.000
Gd1 0.500 0.500 0.500
Mg1 0.750 0.750 0.750
Tl1 0.250 0.250 0.250

Results
M_tot	14.5	μB/f.u.
space-group type	No. 216
uncorrected energy	-7.331	eV per atom

---

Record 12
Below is a relaxed EuGd3Mn crystal, with properties calculated at the PBE-GGA level.

Lattice parameters (Å, degrees): 5.399 5.399 5.399 90.00 90.00 90.00
Fractional positions:
Eu1 0.000 0.000 0.000
Gd1 0.000 0.500 0.500
Gd2 0.500 0.000 0.500
Gd3 0.500 0.500 0.000
Mn1 0.500 0.500 0.500

Results
M_tot	13.2	μB/f.u.
space-group type	No. 221
uncorrected energy	-12.192	eV per atom

---

Record 13
Below is a relaxed EuGdN crystal, with properties calculated at the PBE-GGA level.

Lattice parameters (Å, degrees): 3.608 3.608 6.423 90.00 90.00 120.00
Fractional positions:
Eu1 0.000 0.000 0.000
Gd1 0.667 0.333 0.438
N1 0.333 0.667 0.270

Results
M_tot	0.1	μB/f.u.
formation energy without anion corrections	-2.59	eV per formula unit
space-group type	No. 156
relative energy among the computed polymorphs	0.0	meV per atom

---

Record 14
Below is a relaxed EuGdN crystal, with properties calculated at the PBE-GGA level.

Lattice parameters (Å, degrees): 6.804 6.804 6.804 152.41 152.41 39.42
Fractional positions:
Eu1 0.000 0.000 0.000
Gd1 0.766 0.766 0.000
N1 0.331 0.331 0.000

Results
M_tot	0.3	μB/f.u.
formation energy without anion corrections	-1.34	eV per formula unit
space-group type	No. 107
relative energy among the computed polymorphs	416.9	meV per atom

---

Record 15
Below is a relaxed EuGdN crystal, with properties calculated at the PBE-GGA level.

Lattice parameters (Å, degrees): 4.342 4.342 4.342 60.00 60.00 60.00
Fractional positions:
Eu1 0.000 0.000 0.000
Gd1 0.500 0.500 0.500
N1 0.250 0.250 0.250

Results
M_tot	0.1	μB/f.u.
formation energy without anion corrections	-0.84	eV per formula unit
space-group type	No. 216
relative energy among the computed polymorphs	581.4	meV per atom

---

Record 16
Below is a relaxed NaEuGd2 crystal, with properties calculated at the PBE-GGA level.

Lattice parameters (Å, degrees): 13.208 13.208 13.208 15.61 15.61 15.61
Fractional positions:
Na1 0.000 0.000 0.000
Eu1 0.500 0.500 0.500
Gd1 0.090 0.090 0.090
Gd2 0.910 0.910 0.910

Results
M_tot	22.9	μB/f.u.
space-group type	No. 166
uncorrected energy	-9.718	eV per atom

---

Record 17
Below is a relaxed NaEuGdPb crystal, with properties calculated at the PBE-GGA level.

Lattice parameters (Å, degrees): 5.602 5.602 5.602 60.00 60.00 60.00
Fractional positions:
Na1 0.000 0.000 0.000
Eu1 0.750 0.750 0.750
Gd1 0.250 0.250 0.250
Pb1 0.500 0.500 0.500

Results
M_tot	0.0	μB/f.u.
space-group type	No. 216
uncorrected energy	-7.563	eV per atom

---

Record 18
Below is a relaxed NaEuGdSn crystal, with properties calculated at the PBE-GGA level.

Lattice parameters (Å, degrees): 5.512 5.512 5.512 60.00 60.00 60.00
Fractional positions:
Na1 0.000 0.000 0.000
Eu1 0.250 0.250 0.250
Gd1 0.750 0.750 0.750
Sn1 0.500 0.500 0.500

Results
M_tot	14.8	μB/f.u.
space-group type	No. 216
uncorrected energy	-7.755	eV per atom

---

Record 19
Below is a relaxed NaEuGdTl crystal, with properties calculated at the PBE-GGA level.

Lattice parameters (Å, degrees): 5.588 5.588 5.588 60.00 60.00 60.00
Fractional positions:
Na1 0.000 0.000 0.000
Eu1 0.250 0.250 0.250
Gd1 0.750 0.750 0.750
Tl1 0.500 0.500 0.500

Results
M_tot	14.6	μB/f.u.
space-group type	No. 216
uncorrected energy	-7.115	eV per atom

---

Record 20
Below is a relaxed NdEuGd4 crystal, with properties calculated at the PBE-GGA level.

Lattice parameters (Å, degrees): 7.725 7.725 7.725 60.00 60.00 60.00
Fractional positions:
Nd1 0.000 0.000 0.000
Eu1 0.250 0.250 0.250
Gd1 0.417 0.861 0.861
Gd2 0.861 0.417 0.861
Gd3 0.861 0.861 0.417
Gd4 0.861 0.861 0.861

Results
M_tot	24.1	μB/f.u.
space-group type	No. 216
uncorrected energy	-10.708	eV per atom

---

Record 21
Below is a relaxed NdEuGd2 crystal, with properties calculated at the PBE-GGA level.

Lattice parameters (Å, degrees): 5.818 5.818 5.818 60.00 60.00 60.00
Fractional positions:
Nd1 0.000 0.000 0.000
Eu1 0.500 0.500 0.500
Gd1 0.250 0.250 0.250
Gd2 0.750 0.750 0.750

Results
M_tot	22.6	μB/f.u.
space-group type	No. 225
relative energy among the computed polymorphs	74.2	meV per atom

---

Record 22
Below is a relaxed Nd2EuGd crystal, with properties calculated at the PBE-GGA level.

Lattice parameters (Å, degrees): 4.255 4.255 7.958 90.00 90.00 90.00
Fractional positions:
Nd1 0.000 0.000 0.232
Nd2 0.000 0.000 0.768
Eu1 0.500 0.500 0.500
Gd1 0.500 0.500 0.000

Results
M_tot	15.6	μB/f.u.
space-group type	No. 123
relative energy among the computed polymorphs	34.5	meV per atom

---

Record 23
Below is a relaxed NdEuGd2 crystal, with properties calculated at the PBE-GGA level.

Lattice parameters (Å, degrees): 12.280 12.280 12.280 17.09 17.09 17.09
Fractional positions:
Nd1 0.000 0.000 0.000
Eu1 0.500 0.500 0.500
Gd1 0.253 0.253 0.253
Gd2 0.747 0.747 0.747

Results
M_tot	7.4	μB/f.u.
space-group type	No. 166
relative energy among the computed polymorphs	0.0	meV per atom

---

Record 24
Below is a relaxed NdEuGd2 crystal, with properties calculated at the PBE-GGA level.

Lattice parameters (Å, degrees): 5.933 5.933 3.958 90.00 90.00 90.00
Fractional positions:
Nd1 0.000 0.000 0.000
Eu1 0.500 0.500 0.000
Gd1 0.000 0.500 0.500
Gd2 0.500 0.000 0.500

Results
M_tot	8.1	μB/f.u.
space-group type	No. 123
relative energy among the computed polymorphs	68.6	meV per atom

---

Record 25
Below is a relaxed Nd2EuGd crystal, with properties calculated at the PBE-GGA level.

Lattice parameters (Å, degrees): 5.228 5.228 5.176 90.00 90.00 90.00
Fractional positions:
Nd1 0.000 0.500 0.000
Nd2 0.500 0.000 0.000
Eu1 0.000 0.000 0.500
Gd1 0.500 0.500 0.500

Results
M_tot	14.6	μB/f.u.
space-group type	No. 123
relative energy among the computed polymorphs	0.0	meV per atom

---

Record 26
Below is a relaxed NdSmEuGd crystal, with properties calculated at the PBE-GGA level.

Lattice parameters (Å, degrees): 5.844 5.844 5.844 60.00 60.00 60.00
Fractional positions:
Nd1 0.000 0.000 0.000
Sm1 0.500 0.500 0.500
Eu1 0.250 0.250 0.250
Gd1 0.750 0.750 0.750

Results
M_tot	1.0	μB/f.u.
space-group type	No. 216
uncorrected energy	-8.318	eV per atom

---

Record 27
Below is a relaxed NdEuGdSn crystal, with properties calculated at the PBE-GGA level.

Lattice parameters (Å, degrees): 5.546 5.546 5.546 60.00 60.00 60.00
Fractional positions:
Nd1 0.000 0.000 0.000
Eu1 0.250 0.250 0.250
Gd1 0.500 0.500 0.500
Sn1 0.750 0.750 0.750

Results
M_tot	0.4	μB/f.u.
space-group type	No. 216
uncorrected energy	-8.560	eV per atom

---

Record 28
Below is a relaxed SrNdEuGd crystal, with properties calculated at the PBE-GGA level.

Lattice parameters (Å, degrees): 6.074 6.074 6.074 60.00 60.00 60.00
Fractional positions:
Sr1 0.000 0.000 0.000
Nd1 0.750 0.750 0.750
Eu1 0.250 0.250 0.250
Gd1 0.500 0.500 0.500

Results
M_tot	14.7	μB/f.u.
space-group type	No. 216
uncorrected energy	-7.518	eV per atom

---

Record 29
Below is a relaxed TbNdEuGd crystal, with properties calculated at the PBE-GGA level.

Lattice parameters (Å, degrees): 5.804 5.804 5.804 60.00 60.00 60.00
Fractional positions:
Tb1 0.000 0.000 0.000
Nd1 0.500 0.500 0.500
Eu1 0.750 0.750 0.750
Gd1 0.250 0.250 0.250

Results
M_tot	15.4	μB/f.u.
space-group type	No. 216
uncorrected energy	-8.309	eV per atom

---

Record 30
Below is a relaxed NdEuGdTm crystal, with properties calculated at the PBE-GGA level.

Lattice parameters (Å, degrees): 5.785 5.785 5.785 60.00 60.00 60.00
Fractional positions:
Nd1 0.000 0.000 0.000
Eu1 0.250 0.250 0.250
Gd1 0.500 0.500 0.500
Tm1 0.750 0.750 0.750

Results
M_tot	15.2	μB/f.u.
space-group type	No. 216
uncorrected energy	-8.267	eV per atom

---

Record 31
Below is a relaxed EuGdNi2 crystal, with properties calculated at the PBE-GGA level.

Lattice parameters (Å, degrees): 4.875 4.875 3.425 90.00 90.00 90.00
Fractional positions:
Eu1 0.000 0.000 0.000
Gd1 0.500 0.500 0.000
Ni1 0.000 0.500 0.500
Ni2 0.500 0.000 0.500

Results
M_tot	0.1	μB/f.u.
space-group type	No. 123
uncorrected energy	-9.160	eV per atom